(1)
The following is a PBE calculation of a relaxed Sm4Zn3Cd crystal, from Alexandria.

Cell: 3.6987 5.2037 10.4057 Å, 90.00 90.00 90.00°
Closest atoms and distances in Å follow each position.
Space group Pmmm (No. 47)
Symmetry-distinct sites (fractional):
Sm (0.0000, 0.0000, 0.0000) [1 per cell]  8 Zn 3.19
Sm (0.0000, 0.0000, 0.5000) [1 per cell]  4 Cd 3.19, 4 Zn 3.19
Sm (0.0000, 0.5000, 0.2393) [2 per cell]  6 Zn 3.10-3.19, 2 Cd 3.28
Zn (0.5000, 0.0000, 0.2498) [2 per cell]  8 Sm 3.19
Zn (0.5000, 0.5000, 0.0000) [1 per cell]  8 Sm 3.10-3.19
Cd (0.5000, 0.5000, 0.5000) [1 per cell]  8 Sm 3.19-3.28

The formation energy comes out at -2.47 eV per formula unit. As for the size of the total moment: 0.00 μB per cell.

(2)
The following is a PBE calculation of a relaxed Sm3Zn4Cd4 crystal, from Alexandria.

Cell: 4.3869 7.5809 15.0316 Å, 90.00 90.00 90.00°
Closest atoms and distances in Å follow each position.
Space group Immm (No. 71)
Symmetry-distinct sites (fractional):
Sm (0.0000, 0.0000, 0.0000) [2 per cell]  6 Zn 3.30-3.36, 8 Cd 3.65
Sm (0.0000, 0.5000, 0.1233) [4 per cell]  6 Zn 3.16-3.18, 6 Cd 3.27-3.46
Zn (0.0000, 0.0000, 0.2237) [4 per cell]  6 Cd 2.77-2.84
Zn (0.0000, 0.1749, 0.5000) [4 per cell]  1 Zn 2.65, 2 Cd 2.72
Cd (0.0000, 0.3065, 0.3319) [8 per cell]  4 Zn 2.72-2.84, 1 Cd 2.93

The value obtained for the energy relative to the lowest polymorph listed for this composition is 0.0187 eV per atom. The formation energy comes out at -2.94 eV per formula unit. As for the size of the total moment: 0.00 μB per cell.

(3)
The following is a PBE calculation of a relaxed Sm3ZnCd2 crystal, from Alexandria.

Cell: 3.7098 3.7098 11.5399 Å, 90.00 90.00 90.00°
Closest atoms and distances in Å follow each position.
Space group P4/mmm (No. 123)
Symmetry-distinct sites (fractional):
Sm (0.0000, 0.0000, 0.0000) [1 per cell]  8 Cd 3.30
Sm (0.0000, 0.0000, 0.3495) [2 per cell]  4 Zn 3.15, 4 Cd 3.31, 1 Sm 3.47
Zn (0.5000, 0.5000, 0.5000) [1 per cell]  8 Sm 3.15
Cd (0.5000, 0.5000, 0.1741) [2 per cell]  8 Sm 3.30-3.31

The value obtained for the energy relative to the lowest polymorph listed for this composition is 0.0000 eV per atom. The formation energy comes out at -1.91 eV per formula unit. As for the size of the total moment: 0.39 μB per cell.

(4)
The following is a PBE calculation of a relaxed Sm2Zn3Cd crystal, from Alexandria.

Cell: 7.1832 9.3301 16.1041 Å, 90.00 90.00 90.00°
Closest atoms and distances in Å follow each position.
Space group Fmmm (No. 69)
Symmetry-distinct sites (fractional):
Sm (0.2487, 0.0000, 0.0000) [8 per cell]  10 Zn 3.17-3.27, 2 Cd 3.23
Sm (0.2500, 0.2500, 0.2500) [8 per cell]  4 Cd 3.24, 8 Zn 3.26, 2 Sm 3.59
Zn (0.0000, 0.0000, 0.1623) [8 per cell]  2 Zn 2.62, 1 Cd 2.76
Zn (0.0000, 0.2437, 0.0813) [16 per cell]  2 Zn 2.62, 1 Cd 2.76
Cd (0.0000, 0.0000, 0.3337) [8 per cell]  3 Zn 2.76

The value obtained for the energy relative to the lowest polymorph listed for this composition is 0.0000 eV per atom. The formation energy comes out at -1.99 eV per formula unit. As for the size of the total moment: 0.02 μB per cell.

(5)
The following is a PBE calculation of a relaxed Sm8Zn2Cd crystal, from Alexandria.

Cell: 18.0794 5.1547 7.3655 Å, 90.00 109.10 90.00°
Closest atoms and distances in Å follow each position.
Space group C2/m (No. 12)
Symmetry-distinct sites (fractional):
Sm (0.0311, 0.0000, 0.2621) [4 per cell]  1 Zn 2.99, 2 Cd 3.27
Sm (0.0917, 0.5000, 0.9682) [4 per cell]  2 Zn 3.24, 1 Cd 3.30, 6 Sm 3.46-3.59
Sm (0.1729, 0.5000, 0.4703) [4 per cell]  1 Zn 2.91, 1 Cd 3.20
Sm (0.1926, 0.0000, 0.8042) [4 per cell]  1 Zn 2.94
Zn (0.1856, 0.0000, 0.1969) [4 per cell]  5 Sm 2.91-3.24
Cd (0.0000, 0.5000, 0.5000) [2 per cell]  8 Sm 3.20-3.30

The formation energy comes out at -1.36 eV per formula unit. As for the size of the total moment: 0.00 μB per cell.

(6)
The following is a PBE calculation of a relaxed Sm4ZnCd3 crystal, from Alexandria.

Cell: 3.7370 3.7370 15.3390 Å, 90.00 90.00 90.00°
Closest atoms and distances in Å follow each position.
Space group P4/mmm (No. 123)
Symmetry-distinct sites (fractional):
Sm (0.0000, 0.0000, 0.1122) [2 per cell]  4 Zn 3.15, 4 Cd 3.32, 1 Sm 3.44
Sm (0.0000, 0.0000, 0.3716) [2 per cell]  8 Cd 3.30
Zn (0.5000, 0.5000, 0.0000) [1 per cell]  8 Sm 3.15
Cd (0.5000, 0.5000, 0.2429) [2 per cell]  8 Sm 3.30-3.32
Cd (0.5000, 0.5000, 0.5000) [1 per cell]  8 Sm 3.30

The value obtained for the energy relative to the lowest polymorph listed for this composition is 0.0000 eV per atom. The formation energy comes out at -2.53 eV per formula unit. As for the size of the total moment: 0.73 μB per cell.

(7)
The following is a PBE calculation of a relaxed Sm4ZnCd crystal, from Alexandria.

Cell: 3.6639 3.6639 12.8310 Å, 90.00 90.00 90.00°
Closest atoms and distances in Å follow each position.
Space group P4/mmm (No. 123)
Symmetry-distinct sites (fractional):
Sm (0.0000, 0.0000, 0.1409) [2 per cell]  4 Zn 3.16
Sm (0.5000, 0.5000, 0.3391) [2 per cell]  4 Cd 3.31, 8 Sm 3.63-3.66
Zn (0.5000, 0.5000, 0.0000) [1 per cell]  8 Sm 3.16
Cd (0.0000, 0.0000, 0.5000) [1 per cell]  8 Sm 3.31, 4 Cd 3.66

The value obtained for the energy relative to the lowest polymorph listed for this composition is 0.0000 eV per atom. The formation energy comes out at -1.17 eV per formula unit. As for the size of the total moment: 0.20 μB per cell.

(8)
The following is a PBE calculation of a relaxed SmZnCd crystal, from Alexandria.

Cell: 4.8271 3.4806 8.3306 Å, 90.00 90.00 90.00°
Closest atoms and distances in Å follow each position.
Space group Pmma (No. 51)
Symmetry-distinct sites (fractional):
Sm (0.2500, 0.0000, 0.2307) [2 per cell]  6 Zn 3.11-3.23, 6 Cd 3.33-3.46, 2 Sm 3.48
Zn (0.2500, 0.5000, 0.9213) [2 per cell]  2 Zn 2.75, 1 Cd 2.76
Cd (0.2500, 0.5000, 0.5894) [2 per cell]  1 Zn 2.76, 2 Cd 2.84

The formation energy comes out at -0.98 eV per formula unit. As for the size of the total moment: 0.00 μB per cell.